VASP calculation (PBE) on crystalline PmErCd5 at its relaxed geometry.

Cell lengths 5.179, 5.179, 6.887 Å; angles 90.00, 90.00, 90.00 degrees
Atoms (fractional coordinates):
Cd (0.500, 0.000, 0.772)
Cd (0.500, 0.500, 0.500)
Cd (0.000, 0.500, 0.228)
Cd (0.000, 0.500, 0.772)
Cd (0.500, 0.000, 0.228)
Pm (0.000, 0.000, 0.500)
Er (0.500, 0.500, 0.000)

The calculation puts the formation energy at -0.111 eV per atom.